Computed, not measured: an optimized crystal structure of TbYMgAg at the PBE level of DFT.

Computed properties:
- ΔH_f (0 K) (eV/atom) = -0.1977
- relative energy among the computed polymorphs (meV/atom) = 0.0
- theoretical density (Mg/m³) = 6.15
- space-group type = P4mm (99)

abc: 3.737 3.737 7.344
angles: 90.00 90.00 90.00
Fractional coordinates of all 4 atoms:
Tb: 0.000 0.000 0.366
Y: 0.000 0.000 0.849
Mg: 0.500 0.500 0.107
Ag: 0.500 0.500 0.606

=====

Computed, not measured: an optimized crystal structure of TbYMgAg at the PBE level of DFT.

Computed properties:
- ΔH_f (0 K) (eV/atom) = -0.1552
- relative energy among the computed polymorphs (meV/atom) = 42.5
- theoretical density (Mg/m³) = 6.13
- space-group type = F-43m (216)

abc: 5.261 5.261 5.261
angles: 60.00 60.00 60.00
Fractional coordinates of all 4 atoms:
Y: 0.750 0.750 0.750
Mg: 0.500 0.500 0.500
Tb: 0.250 0.250 0.250
Ag: 0.000 0.000 0.000

=====

Computed, not measured: an optimized crystal structure of Tb4MgZn2Ag at the PBE level of DFT.

Computed properties:
- ΔH_f (0 K) (eV/atom) = -0.2599
- theoretical density (Mg/m³) = 7.67
- space-group type = R-3m (166)

abc: 5.157 5.157 8.954
angles: 73.26 73.26 60.00
Fractional coordinates of all 8 atoms:
Tb: 0.378 0.378 0.865
Tb: 0.873 0.873 0.382
Tb: 0.127 0.127 0.618
Tb: 0.622 0.622 0.135
Mg: 0.000 0.000 0.000
Zn: 0.743 0.743 0.772
Zn: 0.257 0.257 0.228
Ag: 0.500 0.500 0.500

=====

Computed, not measured: an optimized crystal structure of Tb4MgZnAg2 at the PBE level of DFT.

Computed properties:
- ΔH_f (0 K) (eV/atom) = -0.2418
- theoretical density (Mg/m³) = 7.90
- space-group type = R-3m (166)

abc: 5.182 5.182 9.015
angles: 73.30 73.30 60.00
Fractional coordinates of all 8 atoms:
Tb: 0.381 0.381 0.857
Tb: 0.870 0.870 0.389
Tb: 0.130 0.130 0.611
Tb: 0.619 0.619 0.143
Mg: 0.000 0.000 0.000
Zn: 0.500 0.500 0.500
Ag: 0.742 0.742 0.773
Ag: 0.258 0.258 0.227

=====

Computed, not measured: an optimized crystal structure of MgTcAg2 at the PBE level of DFT.

Computed properties:
- ΔH_f (0 K) (eV/atom) = 0.3494
- theoretical density (Mg/m³) = 8.22
- space-group type = Imm2 (44)

abc: 5.680 5.680 5.680
angles: 151.41 128.34 60.11
Fractional coordinates of all 4 atoms:
Ag: 0.999 0.999 0.000
Ag: 0.748 0.248 0.500
Mg: 0.501 0.501 0.000
Tc: 0.251 0.751 0.500

=====

Computed, not measured: an optimized crystal structure of MgTcAg2 at the PBE level of DFT.

Computed properties:
- ΔH_f (0 K) (eV/atom) = 0.3810
- theoretical density (Mg/m³) = 8.04
- space-group type = I4/mmm (139)

abc: 4.844 4.844 4.844
angles: 127.24 127.24 77.86
Fractional coordinates of all 4 atoms:
Ag: 0.000 0.000 0.000
Ag: 0.500 0.500 0.000
Mg: 0.250 0.750 0.500
Tc: 0.750 0.250 0.500

=====

Computed, not measured: an optimized crystal structure of MgTcAg2 at the PBE level of DFT.

Computed properties:
- ΔH_f (0 K) (eV/atom) = 0.2784
- theoretical density (Mg/m³) = 8.38
- space-group type = P4/mmm (123)

abc: 2.769 2.769 8.734
angles: 90.00 90.00 89.99
Fractional coordinates of all 4 atoms:
Ag: 0.000 0.000 0.001
Ag: 0.000 0.000 0.499
Mg: 0.500 0.500 0.250
Tc: 0.500 0.500 0.750

=====

Computed, not measured: an optimized crystal structure of MgTcAg2 at the PBE level of DFT.

Computed properties:
- ΔH_f (0 K) (eV/atom) = 0.2995
- theoretical density (Mg/m³) = 8.30
- space-group type = Pmm2 (25)

abc: 4.741 2.736 5.211
angles: 90.01 90.00 90.00
Fractional coordinates of all 4 atoms:
Ag: 0.000 0.875 0.022
Ag: 0.500 0.375 0.222
Mg: 0.000 0.375 0.536
Tc: 0.500 0.875 0.720